Density functional theory data (SCAN) for RbTaN2F at its PBEsol-relaxed geometry.

The structure in CIF format:
```
data_RbTaN2F
_cell_length_a 4.053
_cell_length_b 4.053
_cell_length_c 4.347
_cell_angle_alpha 90.00
_cell_angle_beta 90.00
_cell_angle_gamma 90.00
_space_group_name_H-M_alt 'P 1'
_space_group_IT_number 1
loop_
_space_group_symop_operation_xyz
'x,y,z'
loop_
_atom_site_label
_atom_site_type_symbol
_atom_site_fract_x
_atom_site_fract_y
_atom_site_fract_z
Rb1 Rb 0.000 0.000 0.000
Ta1 Ta 0.500 0.500 0.500
N1 N 0.000 0.500 0.500
N2 N 0.500 0.000 0.500
F1 F 0.500 0.500 0.000
```


# RbTeN2F (SCAN, single point on PBEsol structure)
data_RbTeN2F
_cell_length_a 5.268
_cell_length_b 5.268
_cell_length_c 4.287
_cell_angle_alpha 90.00
_cell_angle_beta 90.00
_cell_angle_gamma 90.00
_space_group_name_H-M_alt 'P 1'
_space_group_IT_number 1
loop_
_space_group_symop_operation_xyz
'x,y,z'
loop_
_atom_site_label
_atom_site_type_symbol
_atom_site_fract_x
_atom_site_fract_y
_atom_site_fract_z
Rb1 Rb 0.000 0.000 0.000
Te1 Te 0.500 0.500 0.000
N1 N 0.000 0.500 0.500
N2 N 0.500 0.000 0.500
F1 F 0.500 0.500 0.500
# Distance to the lowest polymorph of the same formula, eV/f.u.: 5.07


# RbTeN2F (SCAN, single point on PBEsol structure)
data_RbTeN2F
_cell_length_a 4.035
_cell_length_b 4.035
_cell_length_c 4.816
_cell_angle_alpha 90.00
_cell_angle_beta 90.00
_cell_angle_gamma 90.00
_space_group_name_H-M_alt 'P 1'
_space_group_IT_number 1
loop_
_space_group_symop_operation_xyz
'x,y,z'
loop_
_atom_site_label
_atom_site_type_symbol
_atom_site_fract_x
_atom_site_fract_y
_atom_site_fract_z
Rb1 Rb 0.000 0.000 0.000
Te1 Te 0.500 0.500 0.500
N1 N 0.000 0.500 0.500
N2 N 0.500 0.000 0.500
F1 F 0.500 0.500 0.000
# Distance to the lowest polymorph of the same formula, eV/f.u.: 0.00


Density functional theory data (SCAN) for RbTe2NF at its PBEsol-relaxed geometry.

The structure in CIF format:
```
data_RbTe2NF
_cell_length_a 6.899
_cell_length_b 6.899
_cell_length_c 5.524
_cell_angle_alpha 90.00
_cell_angle_beta 90.00
_cell_angle_gamma 90.00
_space_group_name_H-M_alt 'P 1'
_space_group_IT_number 1
loop_
_space_group_symop_operation_xyz
'x,y,z'
loop_
_atom_site_label
_atom_site_type_symbol
_atom_site_fract_x
_atom_site_fract_y
_atom_site_fract_z
Rb1 Rb 0.000 0.000 0.000
Te1 Te 0.000 0.500 0.000
Te2 Te 0.500 0.000 0.000
N1 N 0.000 0.000 0.500
F1 F 0.500 0.500 0.500
```


Density functional theory data (SCAN) for RbZrNF2 at its PBEsol-relaxed geometry.

The structure in CIF format:
```
data_RbZrNF2
_cell_length_a 4.521
_cell_length_b 4.521
_cell_length_c 4.521
_cell_angle_alpha 90.00
_cell_angle_beta 90.00
_cell_angle_gamma 90.00
_space_group_name_H-M_alt 'P 1'
_space_group_IT_number 1
loop_
_space_group_symop_operation_xyz
'x,y,z'
loop_
_atom_site_label
_atom_site_type_symbol
_atom_site_fract_x
_atom_site_fract_y
_atom_site_fract_z
Rb1 Rb 0.000 0.000 0.000
Zr1 Zr 0.500 0.500 0.500
N1 N 0.000 0.000 0.500
F1 F 0.000 0.500 0.000
F2 F 0.500 0.000 0.000
```


Density functional theory data (SCAN) for Re2RhNF at its PBEsol-relaxed geometry.

The structure in CIF format:
```
data_Re2RhNF
_cell_length_a 5.017
_cell_length_b 5.017
_cell_length_c 3.567
_cell_angle_alpha 90.00
_cell_angle_beta 90.00
_cell_angle_gamma 90.00
_space_group_name_H-M_alt 'P 1'
_space_group_IT_number 1
loop_
_space_group_symop_operation_xyz
'x,y,z'
loop_
_atom_site_label
_atom_site_type_symbol
_atom_site_fract_x
_atom_site_fract_y
_atom_site_fract_z
Re1 Re 0.000 0.500 0.000
Re2 Re 0.500 0.000 0.000
Rh1 Rh 0.000 0.000 0.000
N1 N 0.000 0.000 0.500
F1 F 0.500 0.500 0.500
```


Density functional theory data (SCAN) for ReRuNF2 at its PBEsol-relaxed geometry.

The structure in CIF format:
```
data_ReRuNF2
_cell_length_a 4.084
_cell_length_b 4.084
_cell_length_c 3.824
_cell_angle_alpha 90.00
_cell_angle_beta 90.00
_cell_angle_gamma 90.00
_space_group_name_H-M_alt 'P 1'
_space_group_IT_number 1
loop_
_space_group_symop_operation_xyz
'x,y,z'
loop_
_atom_site_label
_atom_site_type_symbol
_atom_site_fract_x
_atom_site_fract_y
_atom_site_fract_z
Re1 Re 0.000 0.000 0.000
Ru1 Ru 0.500 0.500 0.500
N1 N 0.000 0.000 0.500
F1 F 0.000 0.500 0.000
F2 F 0.500 0.000 0.000
```


Density functional theory data (SCAN) for SrReNF2 at its PBEsol-relaxed geometry.

The structure in CIF format:
```
data_SrReNF2
_cell_length_a 4.375
_cell_length_b 4.375
_cell_length_c 5.096
_cell_angle_alpha 90.00
_cell_angle_beta 90.00
_cell_angle_gamma 90.00
_space_group_name_H-M_alt 'P 1'
_space_group_IT_number 1
loop_
_space_group_symop_operation_xyz
'x,y,z'
loop_
_atom_site_label
_atom_site_type_symbol
_atom_site_fract_x
_atom_site_fract_y
_atom_site_fract_z
Sr1 Sr 0.000 0.000 0.000
Re1 Re 0.500 0.500 0.500
N1 N 0.000 0.000 0.500
F1 F 0.000 0.500 0.000
F2 F 0.500 0.000 0.000
```


| no. | ΔE_f (raw) (eV per atom) | N(E_F) (states/eV/f.u.) | total DFT energy (no corrections) (eV/atom) |
| --- | --- | --- | --- |
| 1 | -1.2194 | 0.4 | -23.108 |
| 2 | 1.0162 | 1.3 | -15.006 |
| 3 | 0.0016 | 1.5 | -16.021 |
| 4 | 1.2481 | 10.3 | -20.366 |
| 5 | 0.0619 | 1.4 | -13.500 |
| 6 | 2.0384 | 3.5 | -35.721 |
| 7 | 0.1302 | 2.4 | -24.329 |
| 8 | -0.0510 | 1.4 | -22.000 |